Record 1
# YNb3P | the Alexandria database | GGA-PBE | relaxed
data_YNb3P
_chemical_formula_sum 'Y1 Nb3 P1'
_cell_length_a 4.933
_cell_length_b 4.933
_cell_length_c 4.933
_cell_angle_alpha 90.00
_cell_angle_beta 90.00
_cell_angle_gamma 90.00
_symmetry_space_group_name_H-M 'P 1'
_symmetry_Int_Tables_number 1
loop_
_symmetry_equiv_pos_as_xyz
'x,y,z'
loop_
_atom_site_label
_atom_site_type_symbol
_atom_site_fract_x
_atom_site_fract_y
_atom_site_fract_z
P1 P 0.500 0.500 0.500
Nb1 Nb 0.000 0.500 0.000
Nb2 Nb 0.500 0.000 0.000
Nb3 Nb 0.000 0.000 0.500
Y1 Y 0.000 0.000 0.000
# Energy above the lowest structure with this stoichiometry (meV/atom): 2248
# Size of the total moment (μB/f.u.): 0.00
# Formation energy from the elements (kJ per mole of atoms): 215

Record 2
# SmTlAs | the Alexandria database | GGA-PBE | relaxed
data_SmTlAs
_chemical_formula_sum 'Sm2 Tl2 As2'
_cell_length_a 5.072
_cell_length_b 5.072
_cell_length_c 8.705
_cell_angle_alpha 73.06
_cell_angle_beta 73.06
_cell_angle_gamma 60.00
_symmetry_space_group_name_H-M 'P 1'
_symmetry_Int_Tables_number 1
loop_
_symmetry_equiv_pos_as_xyz
'x,y,z'
loop_
_atom_site_label
_atom_site_type_symbol
_atom_site_fract_x
_atom_site_fract_y
_atom_site_fract_z
As1 As 0.277 0.277 0.168
As2 As 0.723 0.723 0.832
Tl1 Tl 0.146 0.146 0.562
Tl2 Tl 0.854 0.854 0.438
Sm1 Sm 0.606 0.606 0.181
Sm2 Sm 0.394 0.394 0.819
# Size of the total moment (μB/f.u.): 0.00
# Formation energy from the elements (kJ per mole of atoms): -63

Record 3
# OsAu2Br | the Alexandria database | GGA-PBE | relaxed
data_OsAu2Br
_chemical_formula_sum 'Os1 Au2 Br1'
_cell_length_a 3.016
_cell_length_b 3.016
_cell_length_c 8.360
_cell_angle_alpha 90.00
_cell_angle_beta 90.00
_cell_angle_gamma 90.00
_symmetry_space_group_name_H-M 'P 1'
_symmetry_Int_Tables_number 1
loop_
_symmetry_equiv_pos_as_xyz
'x,y,z'
loop_
_atom_site_label
_atom_site_type_symbol
_atom_site_fract_x
_atom_site_fract_y
_atom_site_fract_z
Os1 Os 0.500 0.500 0.750
Br1 Br 0.000 0.000 0.561
Au1 Au 0.500 0.500 0.213
Au2 Au 0.000 0.000 0.976
# ΔE_f (raw) (eV per formula unit): 3.18
# Energy above the lowest structure with this stoichiometry (meV/atom): 170
# Size of the total moment (μB/f.u.): 0.00

Record 4
# Sm4In2C | the Alexandria database | GGA-PBE | relaxed
data_Sm4In2C
_chemical_formula_sum 'Sm4 In2 C1'
_cell_length_a 5.108
_cell_length_b 5.108
_cell_length_c 8.480
_cell_angle_alpha 107.53
_cell_angle_beta 107.53
_cell_angle_gamma 90.00
_symmetry_space_group_name_H-M 'P 1'
_symmetry_Int_Tables_number 1
loop_
_symmetry_equiv_pos_as_xyz
'x,y,z'
loop_
_atom_site_label
_atom_site_type_symbol
_atom_site_fract_x
_atom_site_fract_y
_atom_site_fract_z
In1 In 0.629 0.629 0.258
In2 In 0.371 0.371 0.742
C1 C 0.000 0.000 0.000
Sm1 Sm 0.000 0.500 0.000
Sm2 Sm 0.837 0.837 0.674
Sm3 Sm 0.163 0.163 0.326
Sm4 Sm 0.500 0.000 0.000
# Size of the total moment (μB/f.u.): 0.00
# Formation energy from the elements (kJ per mole of atoms): -30

Record 5
# Pm4DyCo2 | the Alexandria database | GGA-PBE | relaxed
data_Pm4DyCo2
_chemical_formula_sum 'Pm8 Dy2 Co4'
_cell_length_a 6.545
_cell_length_b 7.786
_cell_length_c 7.827
_cell_angle_alpha 113.23
_cell_angle_beta 90.00
_cell_angle_gamma 90.00
_symmetry_space_group_name_H-M 'P 1'
_symmetry_Int_Tables_number 1
loop_
_symmetry_equiv_pos_as_xyz
'x,y,z'
loop_
_atom_site_label
_atom_site_type_symbol
_atom_site_fract_x
_atom_site_fract_y
_atom_site_fract_z
Pm1 Pm 0.996 0.412 0.761
Pm2 Pm 0.504 0.412 0.761
Pm3 Pm 0.750 0.753 0.672
Pm4 Pm 0.250 0.247 0.328
Pm5 Pm 0.750 0.019 0.373
Pm6 Pm 0.004 0.588 0.239
Pm7 Pm 0.250 0.981 0.627
Pm8 Pm 0.496 0.588 0.239
Co1 Co 0.750 0.368 0.400
Co2 Co 0.250 0.632 0.600
Co3 Co 0.250 0.253 0.992
Co4 Co 0.750 0.747 0.008
Dy1 Dy 0.250 0.841 0.970
Dy2 Dy 0.750 0.159 0.030
# Size of the total moment (μB/f.u.): 0.00
# Formation energy from the elements (kJ per mole of atoms): 3

Record 6
# K3Pa2NbN6 | the Alexandria database | GGA-PBE | relaxed
data_K3Pa2NbN6
_chemical_formula_sum 'K3 Pa2 Nb1 N6'
_cell_length_a 6.003
_cell_length_b 6.003
_cell_length_c 6.725
_cell_angle_alpha 98.52
_cell_angle_beta 98.52
_cell_angle_gamma 120.01
_symmetry_space_group_name_H-M 'P 1'
_symmetry_Int_Tables_number 1
loop_
_symmetry_equiv_pos_as_xyz
'x,y,z'
loop_
_atom_site_label
_atom_site_type_symbol
_atom_site_fract_x
_atom_site_fract_y
_atom_site_fract_z
N1 N 0.736 0.736 0.165
N2 N 0.264 0.264 0.835
N3 N 0.055 0.374 0.165
N4 N 0.374 0.055 0.165
N5 N 0.945 0.626 0.835
N6 N 0.626 0.945 0.835
K1 K 0.500 0.500 0.500
K2 K 0.839 0.161 0.500
K3 K 0.161 0.839 0.500
Pa1 Pa 0.333 0.667 0.000
Pa2 Pa 0.667 0.333 0.000
Nb1 Nb 0.000 0.000 0.000
# ΔE_f (raw) (eV per formula unit): -12.09
# Size of the total moment (μB/f.u.): 0.00

Record 7
# Tl3InBr6 | the Alexandria database | GGA-PBE | relaxed
data_Tl3InBr6
_chemical_formula_sum 'Tl6 In2 Br12'
_cell_length_a 7.677
_cell_length_b 8.521
_cell_length_c 11.217
_cell_angle_alpha 90.00
_cell_angle_beta 86.74
_cell_angle_gamma 90.00
_symmetry_space_group_name_H-M 'P 1'
_symmetry_Int_Tables_number 1
loop_
_symmetry_equiv_pos_as_xyz
'x,y,z'
loop_
_atom_site_label
_atom_site_type_symbol
_atom_site_fract_x
_atom_site_fract_y
_atom_site_fract_z
Tl1 Tl 0.533 0.920 0.763
Tl2 Tl 0.033 0.580 0.263
Tl3 Tl 0.467 0.080 0.237
Tl4 Tl 0.967 0.420 0.737
Tl5 Tl 0.500 0.500 0.000
Tl6 Tl 0.000 0.000 0.500
Br1 Br 0.127 0.056 0.772
Br2 Br 0.342 0.769 0.427
Br3 Br 0.842 0.731 0.927
Br4 Br 0.294 0.834 0.041
Br5 Br 0.206 0.334 0.459
Br6 Br 0.873 0.944 0.228
Br7 Br 0.627 0.444 0.272
Br8 Br 0.794 0.666 0.541
Br9 Br 0.373 0.556 0.728
Br10 Br 0.658 0.231 0.573
Br11 Br 0.706 0.166 0.959
Br12 Br 0.158 0.269 0.073
In1 In 0.500 0.500 0.500
In2 In 0.000 0.000 0.000
# ΔE_f (raw) (eV per formula unit): -8.49
# Size of the total moment (μB/f.u.): 0.00

Record 8
# PrYCuPt | the Alexandria database | GGA-PBE | relaxed
data_PrYCuPt
_chemical_formula_sum 'Pr1 Y1 Cu1 Pt1'
_cell_length_a 5.043
_cell_length_b 5.043
_cell_length_c 5.043
_cell_angle_alpha 60.00
_cell_angle_beta 60.00
_cell_angle_gamma 60.00
_symmetry_space_group_name_H-M 'P 1'
_symmetry_Int_Tables_number 1
loop_
_symmetry_equiv_pos_as_xyz
'x,y,z'
loop_
_atom_site_label
_atom_site_type_symbol
_atom_site_fract_x
_atom_site_fract_y
_atom_site_fract_z
Y1 Y 0.000 0.000 0.000
Pr1 Pr 0.500 0.500 0.500
Cu1 Cu 0.250 0.250 0.250
Pt1 Pt 0.750 0.750 0.750
# Energy above the lowest structure with this stoichiometry (meV/atom): 53
# Size of the total moment (μB/f.u.): 0.00
# Formation energy from the elements (kJ per mole of atoms): -64

Record 9
# Sr2VI | the Alexandria database | GGA-PBE | relaxed
data_Sr2VI
_chemical_formula_sum 'Sr2 V1 I1'
_cell_length_a 5.879
_cell_length_b 5.879
_cell_length_c 5.879
_cell_angle_alpha 60.00
_cell_angle_beta 60.00
_cell_angle_gamma 60.00
_symmetry_space_group_name_H-M 'P 1'
_symmetry_Int_Tables_number 1
loop_
_symmetry_equiv_pos_as_xyz
'x,y,z'
loop_
_atom_site_label
_atom_site_type_symbol
_atom_site_fract_x
_atom_site_fract_y
_atom_site_fract_z
V1 V 0.000 0.000 0.000
Sr1 Sr 0.750 0.750 0.750
Sr2 Sr 0.250 0.250 0.250
I1 I 0.500 0.500 0.500
# ΔE_f (raw) (eV per formula unit): 0.76
# Energy above the lowest structure with this stoichiometry (meV/atom): 0
# Size of the total moment (μB/f.u.): 5.58

Record 10
# Be2InPb | the Alexandria database | GGA-PBE | relaxed
data_Be2InPb
_chemical_formula_sum 'Be2 In1 Pb1'
_cell_length_a 4.849
_cell_length_b 4.849
_cell_length_c 4.849
_cell_angle_alpha 126.33
_cell_angle_beta 108.66
_cell_angle_gamma 95.02
_symmetry_space_group_name_H-M 'P 1'
_symmetry_Int_Tables_number 1
loop_
_symmetry_equiv_pos_as_xyz
'x,y,z'
loop_
_atom_site_label
_atom_site_type_symbol
_atom_site_fract_x
_atom_site_fract_y
_atom_site_fract_z
In1 In 0.750 0.250 0.500
Be1 Be 0.924 0.924 0.000
Be2 Be 0.576 0.576 0.000
Pb1 Pb 0.250 0.750 0.500
# Energy above the lowest structure with this stoichiometry (meV/atom): 310
# Size of the total moment (μB/f.u.): 0.00
# Formation energy from the elements (kJ per mole of atoms): 63

Record 11
# YHCl2 | the Alexandria database | GGA-PBE | relaxed
data_YHCl2
_chemical_formula_sum 'Y1 H1 Cl2'
_cell_length_a 4.637
_cell_length_b 4.637
_cell_length_c 4.637
_cell_angle_alpha 60.00
_cell_angle_beta 60.00
_cell_angle_gamma 60.00
_symmetry_space_group_name_H-M 'P 1'
_symmetry_Int_Tables_number 1
loop_
_symmetry_equiv_pos_as_xyz
'x,y,z'
loop_
_atom_site_label
_atom_site_type_symbol
_atom_site_fract_x
_atom_site_fract_y
_atom_site_fract_z
Cl1 Cl 0.750 0.750 0.750
Cl2 Cl 0.250 0.250 0.250
Y1 Y 0.500 0.500 0.500
H1 H 0.000 0.000 0.000
# DFT total energy (eV/atom): -4.518
# Size of the total moment (μB/f.u.): 0.00

Record 12
# Ba8CdGa2 | the Alexandria database | GGA-PBE | relaxed
data_Ba8CdGa2
_chemical_formula_sum 'Ba8 Cd1 Ga2'
_cell_length_a 5.930
_cell_length_b 8.313
_cell_length_c 11.030
_cell_angle_alpha 106.99
_cell_angle_beta 105.59
_cell_angle_gamma 90.00
_symmetry_space_group_name_H-M 'P 1'
_symmetry_Int_Tables_number 1
loop_
_symmetry_equiv_pos_as_xyz
'x,y,z'
loop_
_atom_site_label
_atom_site_type_symbol
_atom_site_fract_x
_atom_site_fract_y
_atom_site_fract_z
Ba1 Ba 0.599 0.452 0.198
Ba2 Ba 0.037 0.789 0.073
Ba3 Ba 0.329 0.032 0.658
Ba4 Ba 0.963 0.211 0.927
Ba5 Ba 0.798 0.684 0.596
Ba6 Ba 0.202 0.316 0.404
Ba7 Ba 0.671 0.968 0.342
Ba8 Ba 0.401 0.548 0.802
Ga1 Ga 0.813 0.294 0.626
Ga2 Ga 0.187 0.706 0.374
Cd1 Cd 0.500 0.000 0.000
# Energy above the lowest structure with this stoichiometry (meV/atom): 0
# Size of the total moment (μB/f.u.): 0.00
# Formation energy from the elements (kJ per mole of atoms): -18

Question: Look up the size of the total moment of the seventh one.
Answer: 0.00 μB/f.u.

Repeat the fourth record exactly.
# Sm4In2C | the Alexandria database | GGA-PBE | relaxed
data_Sm4In2C
_chemical_formula_sum 'Sm4 In2 C1'
_cell_length_a 5.108
_cell_length_b 5.108
_cell_length_c 8.480
_cell_angle_alpha 107.53
_cell_angle_beta 107.53
_cell_angle_gamma 90.00
_symmetry_space_group_name_H-M 'P 1'
_symmetry_Int_Tables_number 1
loop_
_symmetry_equiv_pos_as_xyz
'x,y,z'
loop_
_atom_site_label
_atom_site_type_symbol
_atom_site_fract_x
_atom_site_fract_y
_atom_site_fract_z
In1 In 0.629 0.629 0.258
In2 In 0.371 0.371 0.742
C1 C 0.000 0.000 0.000
Sm1 Sm 0.000 0.500 0.000
Sm2 Sm 0.837 0.837 0.674
Sm3 Sm 0.163 0.163 0.326
Sm4 Sm 0.500 0.000 0.000
# Size of the total moment (μB/f.u.): 0.00
# Formation energy from the elements (kJ per mole of atoms): -30